Record 1
A relaxed structure of PrThCuPd. Source: Alexandria, functional PBE.

```
PrThCuPd
1.0
-2.854 4.254 0.021
-3.713 0.610 -3.476
-4.913 -0.219 1.434
Cu Pr Th Pd
1 1 1 1
Direct
0.250 0.250 0.250
0.000 0.000 0.000
0.500 0.500 0.500
0.750 0.750 0.750
```

Output
D(E_F): 3.60 states/eV per cell
Energy of formation: -0.354 eV per atom
Space-group type: F-43m
Final energy: -5.73 eV/atom

Record 2
A relaxed structure of LaNiPb. Source: Alexandria, functional PBE.

```
LaNiPb
1.0
4.689 0.000 0.000
-2.345 4.061 0.000
0.000 0.000 3.904
Ni La Pb
1 1 1
Direct
0.333 0.667 0.500
0.000 0.000 0.000
0.667 0.333 0.500
```

Output
D(E_F): 1.14 states/eV per cell
Energy of formation: -0.392 eV per atom
Space-group type: P-6m2
Final energy: -5.20 eV/atom

Record 3
A relaxed structure of LiPrTmTc. Source: Alexandria, functional PBE.

```
LiPrTmTc
1.0
-4.934 0.663 0.381
-3.126 -3.163 -2.270
-2.743 -3.173 2.708
Tc Li Pr Tm
1 1 1 1
Direct
0.000 0.000 0.000
0.500 0.500 0.500
0.750 0.750 0.750
0.250 0.250 0.250
```

Output
D(E_F): 4.01 states/eV per cell
Energy of formation: 0.031 eV per atom
Space-group type: F-43m
Final energy: -5.35 eV/atom

- Among the records above, which one has the highest D(E_F)?
  LiPrTmTc

- What is the energy of formation in the second record?
  -0.392 eV per atom

- The highest final energy belongs to which entry?
  LaNiPb

- Which formula does entry 3 have?
  LiPrTmTc